Record 1
A relaxed Ta2MoCl crystal. Source: Alexandria via LeMat-Bulk, functional PBE.

Computed properties:
D(E_F) ... 3.714 states/eV per cell
Total magnetization ... 0.0 μB per formula unit
Space-group type ... I-4m2 (119)
ΔE_f (raw) ... 0.73 eV/atom

Unit cell a=5.4802 b=5.4802 c=5.4802 alpha=139.62 beta=139.62 gamma=58.43
Element x y z (fractional)
Cl 0.5000 0.5000 0.0000
Mo 0.7500 0.2500 0.5000
Ta 0.0000 0.0000 0.0000
Ta 0.2500 0.7500 0.5000

Record 2
A relaxed Ta2SiIr crystal. Source: Alexandria via LeMat-Bulk, functional PBE.

Computed properties:
D(E_F) ... 2.942 states/eV per cell
Total magnetization ... 0.0 μB per formula unit
Space-group type ... C2/m (12)
ΔE_f (raw) ... -0.39 eV/atom

Unit cell a=4.8623 b=6.2512 c=2.8712 alpha=62.12 beta=90.31 gamma=120.32
Element x y z (fractional)
Ir 0.5000 0.5000 0.0000
Si 0.5000 0.0000 0.5000
Ta 0.0000 0.0000 0.0000
Ta 0.0000 0.5000 0.5000

Record 3
A relaxed LaTc2HgBr crystal. Source: Alexandria via LeMat-Bulk, functional PBE.

Computed properties:
D(E_F) ... 5.462 states/eV per cell
Total magnetization ... 5.5 μB per formula unit
Space-group type ... P4/mmm (123)
ΔE_f (raw) ... 1.30 eV/atom

Unit cell a=5.1211 b=5.6475 c=5.1211 alpha=90.00 beta=90.00 gamma=90.00
Element x y z (fractional)
Tc 0.0000 0.0000 0.5000
Tc 0.5000 0.0000 0.0000
Hg 0.0000 0.0000 0.0000
Br 0.0000 0.5000 0.0000
La 0.5000 0.5000 0.5000

Record 4
A relaxed CaTi2Ga2 crystal. Source: Alexandria via LeMat-Bulk, functional PBE.

Computed properties:
D(E_F) ... 5.485 states/eV per cell
Total magnetization ... 1.4 μB per formula unit
Total DFT energy (no corrections) ... -25.0 eV for the cell shown
Space-group type ... I4/mmm (139)

Unit cell a=4.1169 b=4.1169 c=6.7430 alpha=72.23 beta=72.23 gamma=90.00
Element x y z (fractional)
Ca 0.0000 0.0000 0.0000
Ga 0.3943 0.3943 0.2114
Ga 0.6057 0.6057 0.7886
Ti 0.7500 0.2500 0.5000
Ti 0.2500 0.7500 0.5000